This record from the Alexandria database describes a relaxed Al7Pd2Rh2 crystal. The functional is PBE.

Energy relative to the elements, meV per atom: -532.4

Geometry as POSCAR:
```
Al7Pd2Rh2
1.0
-0.594 5.611 -0.191
-1.905 -0.399 -5.811
-5.066 -1.746 1.781
Al Pd Rh
7 2 2
Direct
0.000 0.281 0.500
0.500 0.719 0.000
0.000 0.719 0.500
0.500 0.281 0.000
0.000 0.000 0.000
0.500 0.743 0.500
0.500 0.257 0.500
0.798 0.500 0.798
0.202 0.500 0.202
0.724 0.000 0.276
0.276 0.000 0.724
```

This record from the Alexandria database describes a relaxed AlPd2RhS crystal. The functional is PBE.

E_form (uncorrected), meV per atom: 16

Geometry as POSCAR:
```
AlPd2RhS
1.0
4.463 0.000 0.000
0.000 4.463 0.000
0.000 0.000 4.412
S Rh Al Pd
1 1 1 2
Direct
0.000 0.000 0.000
0.000 0.000 0.500
0.500 0.500 0.500
0.000 0.500 0.000
0.500 0.000 0.000
```

This record from the Alexandria database describes a relaxed Sc2Al5PdRh2 crystal. The functional is PBE.

Energy relative to the elements, meV per atom: -757.0

Geometry as POSCAR:
```
Sc2Al5PdRh2
1.0
-2.958 -2.046 -1.852
4.623 -7.736 1.159
-4.128 -1.269 7.995
Sc Al Pd Rh
4 10 2 4
Direct
0.000 0.676 0.176
0.000 0.324 0.824
0.000 0.176 0.324
0.000 0.824 0.676
0.500 0.204 0.066
0.500 0.796 0.934
0.500 0.066 0.796
0.500 0.704 0.434
0.500 0.934 0.204
0.500 0.296 0.566
0.500 0.566 0.704
0.500 0.434 0.296
0.500 0.500 0.000
0.500 0.000 0.500
0.000 0.000 0.000
0.000 0.500 0.500
0.000 0.119 0.619
0.000 0.881 0.381
0.000 0.619 0.881
0.000 0.381 0.119
```

This record from the Alexandria database describes a relaxed SmAl4Pd2Rh crystal. The functional is PBE.

Energy relative to the elements, meV per atom: -809.4

Geometry as POSCAR:
```
SmAl4Pd2Rh
1.0
4.262 0.000 0.000
2.131 3.691 0.000
2.131 1.230 8.908
Sm Al Pd Rh
1 4 2 1
Direct
0.000 0.000 0.000
0.404 0.404 0.787
0.866 0.866 0.402
0.134 0.134 0.598
0.596 0.596 0.213
0.766 0.766 0.701
0.234 0.234 0.299
0.500 0.500 0.500
```

This record from the Alexandria database describes a relaxed SmAlPdRh crystal. The functional is PBE.

Energy relative to the elements, meV per atom: -730.6

Geometry as POSCAR:
```
SmAlPdRh
1.0
4.694 0.000 0.000
2.347 4.065 0.000
2.347 1.355 3.832
Rh Pd Sm Al
1 1 1 1
Direct
0.500 0.500 0.500
0.000 0.000 0.000
0.250 0.250 0.250
0.750 0.750 0.750
```

This record from the Alexandria database describes a relaxed Sm2Al5Pd2Rh crystal. The functional is PBE.

Energy relative to the elements, meV per atom: -657.9

Geometry as POSCAR:
```
Sm2Al5Pd2Rh
1.0
-1.201 3.073 -1.318
0.280 -3.939 -9.441
-9.627 -3.296 1.089
Sm Al Pd Rh
4 10 4 2
Direct
0.000 0.685 0.185
0.000 0.315 0.815
0.000 0.185 0.315
0.000 0.815 0.685
0.500 0.189 0.046
0.500 0.811 0.954
0.500 0.046 0.811
0.500 0.689 0.454
0.500 0.954 0.189
0.500 0.311 0.546
0.500 0.546 0.689
0.500 0.454 0.311
0.500 0.500 0.000
0.500 0.000 0.500
0.000 0.119 0.619
0.000 0.881 0.381
0.000 0.619 0.881
0.000 0.381 0.119
0.000 0.000 0.000
0.000 0.500 0.500
```

no.,DOS at the Fermi energy (states/eV/cell),magnetic moment (μB per cell),uncorrected energy (eV/f.u.)
1,4.44,0.00,-57.14
2,2.21,0.00,-25.53
3,11.06,0.00,-58.84
4,4.88,0.00,-43.90
5,3.01,0.00,-23.93
6,15.59,0.00,-52.47